Entry A
Entry from OQMD: HfUMo after structural relaxation (PBE-GGA). Values from VASP.

Quantum ESPRESSO input file:
```
&SYSTEM
  ibrav = 0, nat = 3, ntyp = 3
/
ATOMIC_SPECIES
Hf 178.49 Hf.upf
U 238.03 U.upf
Mo 95.94 Mo.upf
CELL_PARAMETERS angstrom
0.000 3.208 3.208
3.208 0.000 3.208
3.208 3.208 0.000
ATOMIC_POSITIONS crystal
Hf 0.000 0.000 0.000
U 0.250 0.250 0.250
Mo 0.500 0.500 0.500
```

Values from the calculation:
symmetry = F-43m (216)

Entry B
Entry from OQMD: HfUMo after structural relaxation (PBE-GGA). Values from VASP.

Quantum ESPRESSO input file:
```
&SYSTEM
  ibrav = 0, nat = 3, ntyp = 3
/
ATOMIC_SPECIES
Hf 178.49 Hf.upf
U 238.03 U.upf
Mo 95.94 Mo.upf
CELL_PARAMETERS angstrom
0.000 3.254 3.254
3.254 0.000 3.254
3.254 3.254 0.000
ATOMIC_POSITIONS crystal
Hf 0.000 0.000 0.000
U 0.500 0.500 0.500
Mo 0.250 0.250 0.250
```

Values from the calculation:
symmetry = F-43m (216)

Least stable of them? entry A.

Entry A
Entry from OQMD: Hf2ZnMo after structural relaxation (PBE-GGA). Values from VASP.

Quantum ESPRESSO input file:
```
&SYSTEM
  ibrav = 0, nat = 4, ntyp = 3
/
ATOMIC_SPECIES
Hf 178.49 Hf.upf
Zn 65.41 Zn.upf
Mo 95.94 Mo.upf
CELL_PARAMETERS angstrom
0.000 3.301 3.301
3.301 0.000 3.301
3.301 3.301 0.000
ATOMIC_POSITIONS crystal
Hf 0.000 0.000 0.000
Hf 0.250 0.250 0.250
Zn 0.750 0.750 0.750
Mo 0.500 0.500 0.500
```

Values from the calculation:
symmetry = F-43m (216)

Entry B
Entry from OQMD: Hf2ZnMo after structural relaxation (PBE-GGA). Values from VASP.

Quantum ESPRESSO input file:
```
&SYSTEM
  ibrav = 0, nat = 4, ntyp = 3
/
ATOMIC_SPECIES
Hf 178.49 Hf.upf
Zn 65.41 Zn.upf
Mo 95.94 Mo.upf
CELL_PARAMETERS angstrom
3.377 0.000 0.000
0.000 3.377 0.000
0.000 0.000 6.433
ATOMIC_POSITIONS crystal
Hf 0.000 0.000 0.240
Hf 0.000 0.000 0.760
Zn 0.500 0.500 0.500
Mo 0.500 0.500 0.000
```

Values from the calculation:
symmetry = P4/mmm (123)

Least stable of them? entry A.